Record 1
Here is crystalline La4Tb5Ho2 at its relaxed geometry from the Alexandria database. Energies are from GGA-PBE.

The raw total energy is -4.45 eV per atom. As for the crystal system: orthorhombic. The calculation puts the energy above the most stable polymorph in this dataset at 196.3 meV per atom. The calculation puts the formation energy from the elements at 283 meV/atom.

Lattice parameters (Å, degrees): 3.519 9.368 12.521 111.97 98.08 90.00
Atoms (fractional coordinates):
La 0.000 0.289 0.000
La 0.594 0.594 0.188
La 0.000 0.711 0.000
La 0.406 0.406 0.812
Tb 0.850 0.049 0.700
Tb 0.850 0.651 0.700
Tb 0.150 0.349 0.300
Tb 0.150 0.951 0.300
Tb 0.500 0.000 0.000
Ho 0.271 0.271 0.543
Ho 0.729 0.729 0.457


Record 2
Here is crystalline La4TbHo15 at its relaxed geometry from the Alexandria database. Energies are from GGA-PBE.

The raw total energy is -4.62 eV per atom. As for the crystal system: tetragonal. The calculation puts the formation energy from the elements at 31 meV/atom.

Lattice parameters (Å, degrees): 5.066 5.066 25.164 90.00 90.00 90.00
Atoms (fractional coordinates):
La 0.000 0.000 0.200
La 0.000 0.000 0.399
La 0.000 0.000 0.601
La 0.000 0.000 0.800
Tb 0.000 0.000 0.000
Ho 0.500 0.500 0.000
Ho 0.500 0.500 0.198
Ho 0.500 0.500 0.400
Ho 0.500 0.500 0.600
Ho 0.500 0.500 0.802
Ho 0.500 0.000 0.098
Ho 0.500 0.000 0.299
Ho 0.500 0.000 0.500
Ho 0.500 0.000 0.701
Ho 0.500 0.000 0.902
Ho 0.000 0.500 0.098
Ho 0.000 0.500 0.299
Ho 0.000 0.500 0.500
Ho 0.000 0.500 0.701
Ho 0.000 0.500 0.902


Record 3
Here is crystalline La4Tb3Ho at its relaxed geometry from the Alexandria database. Energies are from GGA-PBE.

The raw total energy is -4.55 eV per atom. As for the crystal system: monoclinic. The calculation puts the energy above the most stable polymorph in this dataset at 192.3 meV per atom. The calculation puts the formation energy from the elements at 226 meV/atom.

Lattice parameters (Å, degrees): 3.470 6.321 12.715 92.53 97.84 90.00
Atoms (fractional coordinates):
Tb 0.000 0.500 0.000
Tb 0.140 0.748 0.280
Tb 0.860 0.252 0.720
Ho 0.500 0.000 0.000
La 0.720 0.247 0.441
La 0.280 0.753 0.559
La 0.106 0.241 0.212
La 0.894 0.759 0.788


Record 4
Here is crystalline La3TbHo5 at its relaxed geometry from the Alexandria database. Energies are from GGA-PBE.

The raw total energy is -4.27 eV per atom. As for the crystal system: monoclinic. The calculation puts the formation energy from the elements at 432 meV/atom.

Lattice parameters (Å, degrees): 7.435 7.435 12.759 81.78 81.78 67.06
Atoms (fractional coordinates):
La 0.623 0.623 0.784
La 0.733 0.733 0.534
La 0.000 0.000 0.000
La 0.000 0.000 0.500
La 0.377 0.377 0.216
La 0.267 0.267 0.466
Tb 0.143 0.143 0.739
Tb 0.857 0.857 0.261
Ho 0.931 0.328 0.217
Ho 0.321 0.679 0.000
Ho 0.741 0.741 0.022
Ho 0.555 0.555 0.377
Ho 0.445 0.445 0.623
Ho 0.259 0.259 0.978
Ho 0.328 0.931 0.217
Ho 0.679 0.321 0.000
Ho 0.069 0.672 0.783
Ho 0.672 0.069 0.783


Record 5
Here is crystalline La4TbHo10 at its relaxed geometry from the Alexandria database. Energies are from GGA-PBE.

The raw total energy is -4.31 eV per atom. As for the crystal system: tetragonal. The calculation puts the formation energy from the elements at 362 meV/atom.

Lattice parameters (Å, degrees): 10.677 8.735 8.735 68.07 52.33 52.33
Atoms (fractional coordinates):
La 0.335 0.731 0.599
La 0.934 0.401 0.731
La 0.066 0.599 0.269
La 0.665 0.269 0.401
Tb 0.000 0.000 0.000
Ho 0.250 0.500 0.500
Ho 0.547 0.323 0.905
Ho 0.131 0.095 0.323
Ho 0.548 0.905 0.677
Ho 0.774 0.677 0.095
Ho 0.453 0.677 0.095
Ho 0.750 0.500 0.500
Ho 0.226 0.323 0.905
Ho 0.452 0.095 0.323
Ho 0.869 0.905 0.677


Record 6
Here is crystalline La4TbHo at its relaxed geometry from the Alexandria database. Energies are from GGA-PBE.

The raw total energy is -4.76 eV per atom. As for the crystal system: monoclinic. The calculation puts the energy above the most stable polymorph in this dataset at 0.0 meV per atom. The calculation puts the formation energy from the elements at 57 meV/atom.

Lattice parameters (Å, degrees): 10.135 5.824 9.195 129.21 90.00 90.00
Atoms (fractional coordinates):
La 0.182 0.753 0.252
La 0.318 0.253 0.252
La 0.848 0.751 0.251
La 0.348 0.749 0.749
La 0.652 0.251 0.251
La 0.152 0.249 0.749
La 0.682 0.747 0.748
La 0.818 0.247 0.748
Tb 0.500 0.500 0.000
Tb 0.000 0.000 0.000
Ho 0.000 0.500 0.500
Ho 0.500 0.000 0.500